(1)
Here is a geometry-optimized Fe2P structure from Alexandria. Energies are from PBE.

Lattice parameters (Å, degrees): 3.6974 3.6974 2.6643 90.00 90.00 90.00
Space group P4/mmm (No. 123)
One atom of each set of equivalent atoms:
Fe 0.0000 0.5000 0.0000
P 0.0000 0.0000 0.5000

Values from the calculation:
The calculation puts the energy of formation from the pure elements at -54.9 meV/atom. For the size of the total moment, the calculation gives 2.6 μB/f.u.


(2)
Here is a geometry-optimized NaLiZn17 structure from Alexandria. Energies are from PBE.

Lattice parameters (Å, degrees): 9.0113 9.0113 13.1812 90.00 90.00 120.00
Space group R3m (No. 160, hexagonal axes)
One atom of each set of equivalent atoms:
Na 0.0000 0.0000 0.0000
Li 0.0000 0.0000 0.6696
Zn 0.0000 0.0000 0.2419
Zn 0.0000 0.0000 0.4420
Zn 0.0009 0.5004 0.1881
Zn 0.0027 0.3062 0.3404
Zn 0.0033 0.5017 0.8391
Zn 0.0091 0.5046 0.4935

Values from the calculation:
The calculation puts the energy of formation from the pure elements at -35.7 meV/atom. For the size of the total moment, the calculation gives 0.0 μB/f.u.


(3)
Here is a geometry-optimized LiPaPd2 structure from Alexandria. Energies are from PBE.

Lattice parameters (Å, degrees): 3.0861 3.0861 26.2030 90.00 90.00 120.00
Space group R-3m (No. 166, hexagonal axes)
One atom of each set of equivalent atoms:
Li 0.0000 0.0000 0.0000
Pa 0.0000 0.0000 0.5000
Pd 0.0000 0.0000 0.2579

Values from the calculation:
The calculation puts the energy of formation from the pure elements at -254.8 meV/atom. The value obtained for the energy above the most stable polymorph in this dataset is 0.238 eV/atom. For the size of the total moment, the calculation gives 0.0 μB/f.u.


(4)
Here is a geometry-optimized CoAgP2 structure from Alexandria. Energies are from PBE.

Lattice parameters (Å, degrees): 6.0922 6.0922 6.0922 90.00 90.00 90.00
Space group Fm-3m (No. 225)
One atom of each set of equivalent atoms:
Co 0.0000 0.0000 0.0000
Ag 0.0000 0.0000 0.5000
P 0.2500 0.2500 0.2500

Values from the calculation:
The calculation puts the energy of formation from the pure elements at 418.0 meV/atom. The value obtained for the energy above the most stable polymorph in this dataset is 0.380 eV/atom. For the size of the total moment, the calculation gives 0.0 μB/f.u.


(5)
Here is a geometry-optimized H2Pd2Pt structure from Alexandria. Energies are from PBE.

Lattice parameters (Å, degrees): 2.8851 2.8851 12.6392 90.00 90.00 90.00
Space group I4/mmm (No. 139)
One atom of each set of equivalent atoms:
H 0.0000 0.5000 0.2500
Pd 0.0000 0.0000 0.1573
Pt 0.0000 0.0000 0.5000

Values from the calculation:
The value obtained for the energy above the most stable polymorph in this dataset is 0.001 eV/atom. For the size of the total moment, the calculation gives 0.0 μB/f.u.


(6)
Here is a geometry-optimized Ca2FeNi structure from Alexandria. Energies are from PBE.

Lattice parameters (Å, degrees): 3.4094 3.4339 7.2643 90.00 90.00 90.00
Space group Pmmm (No. 47)
One atom of each set of equivalent atoms:
Ca 0.0000 0.0000 0.2326
Fe 0.5000 0.5000 0.5000
Ni 0.5000 0.5000 0.0000

Values from the calculation:
The calculation puts the energy of formation from the pure elements at 344.2 meV/atom. The value obtained for the energy above the most stable polymorph in this dataset is 0.210 eV/atom. For the size of the total moment, the calculation gives 2.5 μB/f.u.


(7)
Here is a geometry-optimized Pu5Sb3O structure from Alexandria. Energies are from PBE.

Lattice parameters (Å, degrees): 9.2046 9.2046 6.0076 90.00 90.00 120.00
Space group P6_3/mcm (No. 193)
One atom of each set of equivalent atoms:
Pu 0.0000 0.2232 0.2500
Pu 0.3333 0.6667 0.0000
Sb 0.0000 0.3924 0.7500
O 0.0000 0.0000 0.0000

Values from the calculation:
The formation energy from raw total energies is -1.0052 eV per atom. The value obtained for the energy above the most stable polymorph in this dataset is 0.020 eV/atom. For the size of the total moment, the calculation gives 5.2 μB/f.u.


(8)
Here is a geometry-optimized CsInGaCl3 structure from Alexandria. Energies are from PBE.

Lattice parameters (Å, degrees): 7.9411 13.9750 8.1719 90.00 90.00 90.00
Space group Cmcm (No. 63)
One atom of each set of equivalent atoms:
Cs 0.0000 0.1887 0.2500
In 0.0000 0.0983 0.7500
Ga 0.0000 0.4969 0.2500
Cl 0.0000 0.3217 0.7500
Cl 0.2241 0.0000 0.0000

Values from the calculation:
The formation energy from raw total energies is -1.0866 eV per atom. For the size of the total moment, the calculation gives 0.0 μB/f.u.


Which of these has the highest size of the total moment? Pu5Sb3O